DFT (GGA-PBE) results for crystalline YTaAs3 at its relaxed geometry.

a = 5.1977 Å, b = 5.1977 Å, c = 5.1977 Å
α = 90.00°, β = 90.00°, γ = 90.00°
Last column: nearest neighbours and their distance in Å.
Space group Pm-3m (No. 221)
One atom of each set of equivalent atoms:
Y1 0.0000 0.0000 0.0000 (multiplicity 1)  6 As 2.60
Ta1 0.5000 0.5000 0.5000 (multiplicity 1)  12 As 3.68
As1 0.0000 0.0000 0.5000 (multiplicity 3)  2 Y 2.60

Summary:
formation energy from the elements = 1.25 eV per atom
distance to the lowest polymorph of the same formula = 7.25 eV/f.u.

=====

DFT (GGA-PBE) results for crystalline Sr5Ag2I12 at its relaxed geometry.

a = 17.2242 Å, b = 9.0263 Å, c = 11.7498 Å
α = 90.00°, β = 107.24°, γ = 90.00°
Last column: nearest neighbours and their distance in Å.
Space group C2/m (No. 12)
One atom of each set of equivalent atoms:
Sr1 0.0000 0.0000 0.0000 (multiplicity 2)  6 I 3.26-3.36
Sr2 0.2246 0.5000 0.4706 (multiplicity 4)  6 I 3.25-3.36
Sr3 0.2331 0.5000 0.8683 (multiplicity 4)  7 I 3.35-3.55
Ag1 0.0000 0.3393 0.5000 (multiplicity 4)  1 Ag 2.90, 4 I 2.92
I1 0.0361 0.5000 0.3062 (multiplicity 4)  2 Ag 2.92, 1 Sr 3.25
I2 0.1212 0.0000 0.2829 (multiplicity 4)  3 Sr 3.30-3.48
I3 0.1315 0.2536 0.9870 (multiplicity 8)  3 Sr 3.26-3.38
I4 0.1643 0.2432 0.6312 (multiplicity 8)  1 Ag 2.92

Summary:
uncorrected formation energy = -1.335 eV/atom

=====

DFT (GGA-PBE) results for crystalline Mg3W at its relaxed geometry.

a = 4.1659 Å, b = 4.1659 Å, c = 17.2474 Å
α = 90.00°, β = 90.00°, γ = 90.00°
Last column: nearest neighbours and their distance in Å.
Space group I4/mmm (No. 139)
One atom of each set of equivalent atoms:
Mg1 0.0000 0.0000 0.1271 (multiplicity 4)  4 W 2.95, 8 Mg 2.97-3.02
Mg2 0.0000 0.5000 0.0000 (multiplicity 4)  4 W 2.94, 8 Mg 2.95-3.02
Mg3 0.0000 0.5000 0.2500 (multiplicity 4)  8 Mg 2.95-2.97, 4 W 3.06
W1 0.0000 0.0000 0.3798 (multiplicity 4)  12 Mg 2.94-3.06

Summary:
formation energy from the elements = 0.55 eV per atom
distance to the lowest polymorph of the same formula = 1.06 eV/f.u.

=====

DFT (GGA-PBE) results for crystalline MoP2Au at its relaxed geometry.

a = 4.1416 Å, b = 4.1416 Å, c = 7.0912 Å
α = 90.00°, β = 90.00°, γ = 90.00°
Last column: nearest neighbours and their distance in Å.
Space group I4/mmm (No. 139)
One atom of each set of equivalent atoms:
Mo1 0.0000 0.0000 0.0000 (multiplicity 2)  8 P 2.73, 4 Au 2.93
P1 0.0000 0.5000 0.2500 (multiplicity 4)  4 Mo 2.73, 4 Au 2.73, 4 P 2.93
Au1 0.0000 0.0000 0.5000 (multiplicity 2)  8 P 2.73, 4 Mo 2.93

Summary:
formation energy from the elements = 0.37 eV per atom
distance to the lowest polymorph of the same formula = 1.63 eV/f.u.

=====

DFT (GGA-PBE) results for crystalline Mg3GaSe at its relaxed geometry.

a = 5.0152 Å, b = 5.0152 Å, c = 5.0152 Å
α = 90.00°, β = 90.00°, γ = 90.00°
Last column: nearest neighbours and their distance in Å.
Space group Pm-3m (No. 221)
One atom of each set of equivalent atoms:
Mg1 0.0000 0.0000 0.5000 (multiplicity 3)  2 Ga 2.51
Ga1 0.0000 0.0000 0.0000 (multiplicity 1)  6 Mg 2.51
Se1 0.5000 0.5000 0.5000 (multiplicity 1)  12 Mg 3.55

Summary:
distance to the lowest polymorph of the same formula = 0.00 eV/f.u.
uncorrected formation energy = -0.024 eV/atom

=====

DFT (GGA-PBE) results for crystalline Tl12HgBi6 at its relaxed geometry.

a = 15.2225 Å, b = 15.2225 Å, c = 9.8339 Å
α = 90.00°, β = 90.00°, γ = 120.00°
Last column: nearest neighbours and their distance in Å.
Space group R-3m (No. 166, hexagonal axes)
One atom of each set of equivalent atoms:
Tl1 0.0000 0.3801 0.0000 (multiplicity 18)  5 Tl 3.32-3.65, 4 Bi 3.47-3.52
Tl2 0.0853 0.1707 0.7266 (multiplicity 18)  1 Hg 3.17, 2 Tl 3.32, 3 Bi 3.42-3.46
Hg1 0.0000 0.0000 0.5000 (multiplicity 3)  6 Tl 3.17
Bi1 0.0981 0.5490 0.7306 (multiplicity 18)  2 Bi 3.35, 8 Tl 3.42-3.65

Summary:
formation energy from the elements = 0.04 eV per atom
distance to the lowest polymorph of the same formula = 0.35 eV/f.u.

=====

DFT (GGA-PBE) results for crystalline LiHfCN2 at its relaxed geometry.

a = 4.0045 Å, b = 4.0045 Å, c = 6.7064 Å
α = 90.00°, β = 90.00°, γ = 90.00°
Last column: nearest neighbours and their distance in Å.
Space group P4/mmm (No. 123)
One atom of each set of equivalent atoms:
Li1 0.0000 0.0000 0.0000 (multiplicity 1)  4 C 2.83
Hf1 0.0000 0.0000 0.5000 (multiplicity 1)  4 N 2.00
C1 0.5000 0.5000 0.0000 (multiplicity 1)  4 Li 2.83
N1 0.0000 0.5000 0.5000 (multiplicity 2)  2 Hf 2.00

Summary:
uncorrected formation energy = 1.770 eV/atom

=====

DFT (GGA-PBE) results for crystalline Pr3Dy7Er at its relaxed geometry.

a = 7.0882 Å, b = 7.0882 Å, c = 8.7188 Å
α = 90.00°, β = 90.00°, γ = 120.00°
Last column: nearest neighbours and their distance in Å.
Space group P3m1 (No. 156)
One atom of each set of equivalent atoms:
Pr1 0.0001 0.5001 0.0000 (multiplicity 3)  4 Pr 3.54-3.55, 5 Dy 3.59-3.60, 1 Er 3.60
Dy1 0.1675 0.3350 0.3390 (multiplicity 3)  1 Er 3.46, 8 Dy 3.49-3.56, 2 Pr 3.59
Dy2 0.3349 0.1675 0.6618 (multiplicity 3)  7 Dy 3.47-3.56, 2 Er 3.54, 2 Pr 3.59
Dy3 0.6667 0.3333 0.3402 (multiplicity 1)  9 Dy 3.47-3.54, 3 Pr 3.60
Er1 0.3333 0.6667 0.6600 (multiplicity 1)  9 Dy 3.46-3.54, 3 Pr 3.60

Summary:
formation energy from the elements = 0.17 eV per atom
distance to the lowest polymorph of the same formula = 0.52 eV/f.u.

=====

Number 1: spin magnetization 0.00 μB per formula unit. Number 2: spin magnetization 0.00 μB per formula unit. Number 3: spin magnetization 0.95 μB per formula unit. Number 4: spin magnetization 0.00 μB per formula unit. Number 5: spin magnetization 0.00 μB per formula unit. Number 6: spin magnetization 0.00 μB per formula unit. Number 7: spin magnetization 0.14 μB per formula unit. Number 8: spin magnetization 0.00 μB per formula unit.